# 1
# LiZr3Pd (SCAN, PBEsol geometry)
data_LiZr3Pd
_chemical_formula_sum 'Li1 Zr3 Pd1'
_symmetry_space_group_name_H-M 'P m -3 m'
_symmetry_Int_Tables_number 221
_symmetry_space_group_name_Hall '-P 4 2 3'
_cell_length_a 4.562
_cell_length_b 4.562
_cell_length_c 4.562
_cell_angle_alpha 90.00
_cell_angle_beta 90.00
_cell_angle_gamma 90.00
loop_
_atom_site_label
_atom_site_type_symbol
_atom_site_fract_x
_atom_site_fract_y
_atom_site_fract_z
Li1 Li 0.000 0.000 0.000
Zr1 Zr 0.000 0.000 0.500
Pd1 Pd 0.500 0.500 0.500
# - E_form (eV/f.u.) = 3.31

# 2
# LiZr2Pd2 (SCAN, PBEsol geometry)
data_LiZr2Pd2
_chemical_formula_sum 'Li2 Zr4 Pd4'
_symmetry_space_group_name_H-M 'P 4/m b m'
_symmetry_Int_Tables_number 127
_symmetry_space_group_name_Hall '-P 4 2ab'
_cell_length_a 7.606
_cell_length_b 7.606
_cell_length_c 3.218
_cell_angle_alpha 90.00
_cell_angle_beta 90.00
_cell_angle_gamma 90.00
loop_
_atom_site_label
_atom_site_type_symbol
_atom_site_fract_x
_atom_site_fract_y
_atom_site_fract_z
Li1 Li 0.000 0.000 0.000
Zr1 Zr 0.166 0.334 0.500
Pd1 Pd 0.133 0.633 0.000
# - E_form (eV/f.u.) = -2.86